1.
This record from the Alexandria database describes a geometry-optimized ScAs2Br structure. The functional is GGA-PBE.

Total moment in Bohr magnetons per cell: 0.000
E above lowest polymorph in meV per atom: 648.8
Uncorrected formation energy in eV/f.u.: -0.615

Unit cell a=3.9954 b=3.9954 c=10.8577 alpha=90.00 beta=90.00 gamma=90.00
Closest atoms and distances in Å follow each position.
Space group I-4m2 (No. 119)
One atom of each set of equivalent atoms:
Sc 0.0000 0.0000 0.0000 (multiplicity 2)  4 As 2.83
As 0.0000 0.0000 0.5000 (multiplicity 2)  4 Sc 2.83
As 0.0000 0.5000 0.7500 (multiplicity 2)  4 Br 2.83
Br 0.0000 0.5000 0.2500 (multiplicity 2)  4 As 2.83

2.
This record from the Alexandria database describes a geometry-optimized AcPr2Zn2Si2 structure. The functional is GGA-PBE.

Total moment in Bohr magnetons per cell: 2.668
Uncorrected formation energy in eV/f.u.: -3.052

Unit cell a=4.1951 b=4.1951 c=36.1707 alpha=90.00 beta=90.00 gamma=120.00
Closest atoms and distances in Å follow each position.
Space group R-3m (No. 166, hexagonal axes)
One atom of each set of equivalent atoms:
Ac 0.0000 0.0000 0.0000 (multiplicity 3)  6 Zn 3.39, 6 Si 3.39
Pr 0.0000 0.0000 0.1230 (multiplicity 6)  3 Si 3.19, 3 Zn 3.19
Zn 0.0000 0.0000 0.3988 (multiplicity 6)  3 Si 2.42
Si 0.0000 0.0000 0.2678 (multiplicity 6)  3 Zn 2.42